(1)
TeMoIr3, relaxed, DFT GGA-PBE; formation energy from raw total energies = 7.6 eV/f.u.; final energy = -6.5919 eV/atom; crystal system = cubic; excess energy over the best structure of this formula in the dataset = 0.00 eV per formula unit
1.0
-2.457 3.482 -2.119
0.684 -2.087 -4.223
-4.018 -2.485 0.577
Mo Ir Te
1 3 1
direct
0.000 0.000 0.000
0.000 0.500 0.000
0.000 0.000 0.500
0.500 0.000 0.000
0.500 0.500 0.500

(2)
Te2MoIr, relaxed, DFT GGA-PBE; formation energy from raw total energies = 1.7 eV/f.u.; final energy = -6.0810 eV/atom; crystal system = tetragonal; excess energy over the best structure of this formula in the dataset = 1.03 eV per formula unit
1.0
3.399 0.000 0.000
0.000 3.388 -0.123
0.000 -3.151 6.627
Ir Mo Te
1 1 2
direct
0.500 0.250 0.250
0.500 0.750 0.750
0.000 0.497 0.998
0.000 0.003 0.502

Q: formation energy from raw total energies of number 2 (Te2MoIr)?
A: 1.7 eV/f.u.